{"formula": "La2Nd2O7", "functional": "GGA-PBE", "state": "optimized geometry", "crystal_system": "orthorhombic", "dft_energy_ha_per_atom": -0.2890, "sg": "Amm2", "magnetic_moment_mub_per_atom": 0.00, "lattice": [[8.237, 0.000, 0.000], [0.000, 1.844, 5.738], [0.000, -1.844, 5.738]], "species": ["O", "O", "O", "O", "O", "O", "O", "La", "La", "Nd", "Nd"], "frac_coords": [[0.000, 0.378, 0.378], [0.253, 0.917, 0.917], [0.500, 0.663, 0.663], [0.908, 0.660, 0.660], [0.500, 0.389, 0.389], [0.747, 0.917, 0.917], [0.092, 0.660, 0.660], [0.000, 0.007, 0.007], [0.500, 0.018, 0.018], [0.259, 0.293, 0.293], [0.741, 0.293, 0.293]]}